Record 1
Crystalline La5TbSm6 at its relaxed geometry, computed with PBE-GGA.

## Properties
Energy of formation: 0.014 eV per atom
Space-group type: C2/m, No. 12
Crystal system: monoclinic
Total magnetization: 0.0 μB/cell

```
12
Lattice="6.1890 0.0000 1.5070 3.0945 5.5165 0.7535 -0.7575 0.0000 12.0931" Properties=species:S:1:pos:R:3 pbc="T T T"
La 6.1890 3.6774 1.5070
La 5.8103 1.8352 7.5535
La 3.0945 1.8391 0.7535
La 2.7158 3.6813 6.8000
La 2.7158 0.0000 6.8000
Sm 7.5555 3.6846 4.8935
Sm 0.9705 1.8319 9.4600
Sm 1.3551 0.0000 3.3831
Sm 4.0651 3.6846 10.2135
Sm 4.4610 1.8319 4.1400
Sm 4.0764 0.0000 10.2169
Tb 0.0000 0.0000 0.0000
```

***

Record 2
Crystalline LaTbSm2 at its relaxed geometry, computed with PBE-GGA.

## Properties
Offset from the most stable computed form: 0.1288 eV per atom
Energy of formation: 0.147 eV per atom
Space-group type: Fm-3m, No. 225
Crystal system: cubic
Total magnetization: 0.8 μB/cell

```
4
Lattice="-3.5006 3.8683 2.5367 -5.7127 -0.1680 -0.9942 -3.6269 -1.6874 4.2012" Properties=species:S:1:pos:R:3 pbc="T T T"
Sm -9.6301 1.5097 4.3078
Sm -3.2100 0.5032 1.4359
La -6.4201 1.0065 2.8718
Tb 0.0000 0.0000 0.0000
```

***

Record 3
Crystalline La7Tb12Sm at its relaxed geometry, computed with PBE-GGA.

## Properties
Offset from the most stable computed form: 0.0000 eV per atom
Energy of formation: 0.218 eV per atom
Space-group type: R-3, No. 148
Crystal system: trigonal
Total magnetization: 0.0 μB/cell

```
20
Lattice="0.2701 8.8677 0.3561 -5.2011 0.4317 7.1832 6.8511 0.1263 5.6465" Properties=species:S:1:pos:R:3 pbc="T T T"
La 1.8906 0.8604 3.4260
La 0.9600 4.7129 6.5929
La 0.0294 8.5653 9.7598
La 3.3615 7.8090 9.8153
La 1.1386 5.8616 11.5310
La 0.7815 3.5641 1.6548
La -1.4414 1.6167 3.3705
Tb 1.6925 1.4809 7.1058
Tb 2.1610 2.6609 10.1286
Tb -1.9633 1.6366 6.9738
Tb 2.8705 5.6058 3.9857
Tb -2.1649 4.6854 5.3768
Tb -2.5245 6.8290 7.8314
Tb -0.2410 6.7648 3.0572
Tb 3.8833 7.7891 6.2120
Tb 4.0849 4.7403 7.8090
Tb 0.2276 7.9448 6.0800
Tb 4.4446 2.5967 5.3544
Tb -0.9504 3.8199 9.2001
Sm 0.0000 0.0000 0.0000
```

***

Record 4
Crystalline LaTb2Sm4 at its relaxed geometry, computed with PBE-GGA.

## Properties
Offset from the most stable computed form: 0.0000 eV per atom
Energy of formation: 0.075 eV per atom
Space-group type: P1, No. 1
Crystal system: triclinic
Total magnetization: 0.0 μB/cell

```
14
Lattice="-7.4093 2.1015 -4.0141 -0.5161 -8.0825 -3.7068 -1.3010 -1.8319 6.1910" Properties=species:S:1:pos:R:3 pbc="T T T"
Tb -3.2335 -5.9969 -3.9895
Tb -4.9841 -3.1429 -2.6479
Tb -7.1899 -3.0273 0.6553
Tb -3.0268 -3.3300 2.9192
Sm -5.6117 -1.2209 3.0886
Sm -1.7680 -4.1571 -1.1043
Sm -7.1363 -0.4405 -1.6745
Sm -1.2808 -6.2338 1.8107
Sm -6.1111 -6.5251 -2.4316
Sm -4.5759 -5.0529 0.4262
Sm -6.6074 -4.6754 -5.4095
Sm -3.8655 -1.3690 -0.0418
La -1.4080 -2.1071 5.6753
La -2.7502 -7.8830 -0.9527
```

***

Record 5
Crystalline La5Tb4Sm at its relaxed geometry, computed with PBE-GGA.

## Properties
Offset from the most stable computed form: 0.0057 eV per atom
Energy of formation: 0.022 eV per atom
Space-group type: P4/mmm, No. 123
Crystal system: tetragonal
Total magnetization: 0.0 μB/cell

```
10
Lattice="3.7049 0.0000 0.0000 0.0000 3.7049 0.0000 0.0000 0.0000 25.3126" Properties=species:S:1:pos:R:3 pbc="T T T"
Tb 0.0000 0.0000 20.2082
Tb 0.0000 0.0000 15.1724
Tb 0.0000 0.0000 10.1402
Tb 0.0000 0.0000 5.1044
Sm 0.0000 0.0000 0.0000
La 1.8524 1.8524 7.6236
La 1.8524 1.8524 12.6563
La 1.8524 1.8524 22.7392
La 1.8524 1.8524 17.6891
La 1.8524 1.8524 2.5734
```

***

Record 6
Crystalline La2Tb3Sm4 at its relaxed geometry, computed with PBE-GGA.

## Properties
Offset from the most stable computed form: 0.0000 eV per atom
Energy of formation: 0.055 eV per atom
Space-group type: P3m1, No. 156
Crystal system: trigonal
Total magnetization: 0.0 μB/cell

```
9
Lattice="-1.2010 -2.2484 2.5984 -1.3232 -0.2546 -3.3815 19.4686 -17.6662 -6.2879" Properties=species:S:1:pos:R:3 pbc="T T T"
Sm 14.7347 -13.3706 -4.7589
Sm 10.5750 -9.5960 -3.4155
Sm 3.0837 -5.5088 -0.7919
Sm 7.2220 -9.2640 -2.1284
Tb 11.4271 -13.0798 -3.4866
Tb 6.3507 -5.7627 -2.0511
Tb 19.1259 -17.3552 -6.1772
La 0.5159 -3.1787 0.0375
La 15.7080 -16.9644 -4.8692
```

***

Record 7
Crystalline La7TbSm4 at its relaxed geometry, computed with PBE-GGA.

## Properties
Offset from the most stable computed form: 0.0000 eV per atom
Energy of formation: 0.016 eV per atom
Space-group type: P-1, No. 2
Crystal system: triclinic
Total magnetization: 0.0 μB/cell

```
12
Lattice="0.9169 3.8430 6.2919 4.4935 -4.2133 1.9188 8.7171 7.3651 2.9822" Properties=species:S:1:pos:R:3 pbc="T T T"
La 6.9790 2.9383 8.1525
La 11.1840 6.2117 5.5123
La 4.5083 4.0830 5.6203
La 9.6192 2.9118 5.5726
La 0.4584 1.9215 3.1460
La 2.9435 0.7831 5.6807
La 7.1485 4.0566 3.0404
Sm 6.5131 0.9867 5.0093
Sm 10.0691 4.8397 8.7206
Sm 4.0584 2.1551 2.4724
Sm 7.6144 6.0082 6.1836
Tb 0.0000 0.0000 0.0000
```

***

Record 8
Crystalline La3TbSm5 at its relaxed geometry, computed with PBE-GGA.

## Properties
Energy of formation: 0.401 eV per atom
Space-group type: C2/m, No. 12
Crystal system: monoclinic
Total magnetization: 0.0 μB/cell

```
18
Lattice="-1.9102 -2.7467 -6.7257 -5.1422 -5.4432 0.5987 -10.6212 6.9627 -2.1233" Properties=species:S:1:pos:R:3 pbc="T T T"
La -5.3106 3.4813 -1.0617
La -5.0102 -1.7043 -2.8382
La 0.0000 0.0000 0.0000
La -6.8767 1.0436 -2.6502
La -10.7969 -2.2708 -5.6001
La -12.6634 0.4772 -5.4121
Sm -9.8258 3.2408 -6.1256
Sm -4.1157 -4.5868 -1.7274
Sm -5.5240 -5.8535 -4.5924
Sm -2.9367 -3.6031 -4.3995
Sm -11.8048 1.5897 -1.6406
Sm -9.7526 0.7242 -4.0368
Sm -7.8478 -4.4680 -2.1247
Sm -12.1496 4.6264 -3.6579
Sm -7.9210 -1.9513 -4.2135
Sm -5.8688 -2.8168 -6.6097
Tb -8.8007 3.9976 -2.4116
Tb -8.8729 -5.2247 -5.8387
```